Entry 1:
Density functional theory data (GGA-PBE) for a relaxed Pu2GeC crystal.

The space group is P4/mmm (No. 123) and the conventional cell measures 3.0888, 3.0888 and 7.4039 Å, with angles of 90.00, 90.00 and 90.00 degrees. The distinct sites, in fractional coordinates, are Pu at (0.0000, 0.0000, 0.1916), Ge at (0.5000, 0.5000, 0.5000) and C at (0.5000, 0.5000, 0.0000).

The calculation puts the formation energy at -90 meV per atom.

=====

Entry 2:
Density functional theory data (GGA-PBE) for a relaxed LiPu3Sc3S8 crystal.

The space group is R-3m (No. 166, hexagonal axes) and the conventional cell measures 7.5820, 7.5820 and 18.6776 Å, with angles of 90.00, 90.00 and 120.00 degrees. The distinct sites, in fractional coordinates, are Li at (0.0000, 0.0000, 0.0000), Pu at (0.0000, 0.5000, 0.5000), Sc at (0.0000, 0.5000, 0.0000), S at (0.0000, 0.0000, 0.2558) and S at (0.0049, 0.5025, 0.2551).

The value obtained for the formation energy (no corrections) is -26.3 eV/f.u.

=====

Entry 3:
Density functional theory data (GGA-PBE) for a relaxed PrGeBi crystal.

The space group is P3m1 (No. 156) and the conventional cell measures 4.9540, 4.9540 and 4.1053 Å, with angles of 90.00, 90.00 and 120.00 degrees. The distinct sites, in fractional coordinates, are Pr at (0.0000, 0.0000, 0.0000), Ge at (0.3333, 0.6667, 0.5378) and Bi at (0.6667, 0.3333, 0.4867).

The calculation puts the formation energy at -400 meV per atom.

=====

Entry 4:
Density functional theory data (GGA-PBE) for a relaxed LaMnIn4 crystal.

The space group is F-43m (No. 216) and the conventional cell measures 8.5522, 8.5522 and 8.5522 Å, with angles of 90.00, 90.00 and 90.00 degrees. The distinct sites, in fractional coordinates, are La at (0.0000, 0.0000, 0.0000), Mn at (0.2500, 0.2500, 0.2500) and In at (0.1248, 0.1248, 0.6248).

The calculation puts the formation energy at 72 meV per atom.